DFT (PBE-GGA) results for an optimized crystal structure of TbPr6Sm3Er2.

ΔH_f (0 K)   0.013 eV per atom
M_tot   0.000 Bohr magnetons per cell

POSCAR file:
```
TbPr6Sm3Er2
1.0
6.335 -0.002 0.012
-3.167 5.486 0.012
-1.076 -1.864 11.781
Sm Pr Er Tb
3 6 2 1
Direct
0.167 0.833 0.500
0.500 0.500 0.500
0.833 0.167 0.500
0.583 0.917 0.753
0.917 0.583 0.753
0.417 0.083 0.247
0.749 0.749 0.247
0.083 0.417 0.247
0.251 0.251 0.753
0.333 0.667 0.000
0.667 0.333 0.000
0.000 0.000 0.000
```